GaNiSe: relaxed, PBE.

Cell and atoms, written as extended XYZ:
```
6
Lattice="3.7610 0.0000 0.0000 -1.2706 3.5803 0.0000 -1.2128 -1.7768 8.0209" Properties=species:S:1:pos:R:3 pbc="T T T"
Ga -0.3557 0.2692 3.1402
Ga 1.6333 1.5343 4.8807
Ni -0.8898 0.6788 7.1879
Ni 2.1675 1.1247 0.8330
Se 0.2816 2.4770 1.5209
Se 0.9960 -0.6735 6.5000
```

Output
Formation energy from raw total energies ... -0.10 eV per atom
Theoretical density ... 6.38 Mg/m³
DOS at the Fermi energy ... 2.067 states/eV/f.u.
Space-group type ... P-1 (2)
Uncorrected energy ... -25.2 eV per cell